A plane-wave DFT calculation with PBE was carried out for a relaxed Pr2NdHg5 crystal.

a = 5.333 Å, b = 5.333 Å, c = 8.489 Å
α = 108.31°, β = 108.31°, γ = 90.00°
Atoms (fractional coordinates):
Nd 0.000 0.000 0.000
Hg 0.500 0.500 0.000
Hg 0.620 0.120 0.241
Hg 0.120 0.620 0.241
Hg 0.380 0.880 0.759
Hg 0.880 0.380 0.759
Pr 0.268 0.268 0.536
Pr 0.732 0.732 0.464

Summary:
DFT formation energy = -437 meV/atom
Total energy = -2.4165 eV per atom

---

A plane-wave DFT calculation with PBE was carried out for a relaxed Ba2TbSnTe5 crystal.

a = 4.740 Å, b = 10.370 Å, c = 14.208 Å
α = 90.00°, β = 90.00°, γ = 103.21°
Atoms (fractional coordinates):
Te 0.948 0.896 0.567
Te 0.315 0.630 0.371
Te 0.052 0.104 0.067
Te 0.712 0.423 0.162
Te 0.493 0.985 0.759
Te 0.359 0.719 0.001
Te 0.507 0.015 0.259
Te 0.641 0.281 0.501
Te 0.685 0.370 0.871
Te 0.288 0.577 0.662
Sn 0.452 0.905 0.446
Sn 0.548 0.095 0.946
Ba 0.884 0.768 0.183
Ba 0.134 0.267 0.314
Ba 0.866 0.733 0.814
Ba 0.116 0.232 0.683
Tb 0.210 0.420 0.021
Tb 0.790 0.580 0.521

Summary:
Total energy = -4.3640 eV per atom

---

A plane-wave DFT calculation with PBE was carried out for a relaxed Ba2Na3PaSe6 crystal.

a = 7.910 Å, b = 7.910 Å, c = 7.398 Å
α = 100.08°, β = 100.08°, γ = 120.42°
Atoms (fractional coordinates):
Pa 0.000 0.000 0.000
Se 0.782 0.782 0.228
Se 0.079 0.369 0.242
Se 0.921 0.631 0.758
Se 0.369 0.079 0.242
Se 0.631 0.921 0.758
Se 0.218 0.218 0.772
Ba 0.669 0.331 0.000
Ba 0.331 0.669 0.000
Na 0.846 0.154 0.500
Na 0.500 0.500 0.500
Na 0.154 0.846 0.500

Summary:
Total energy = -4.7319 eV per atom

---

A plane-wave DFT calculation with PBE was carried out for a relaxed Mg3TaCu crystal.

a = 5.413 Å, b = 5.413 Å, c = 5.413 Å
α = 90.00°, β = 90.00°, γ = 90.00°
Each line ends with the local moment (μB).
Atoms (fractional coordinates):
Mg 0.500 0.000 0.000  0.05
Mg 0.000 0.500 0.000  0.03
Mg 0.000 0.000 0.500  0.00
Cu 0.500 0.500 0.500  0.00
Ta 0.000 0.000 0.000  1.84

Summary:
Offset from the most stable computed form = 0.794 eV per atom
DFT formation energy = 1583 meV/atom
Total energy = -2.5639 eV per atom